AcV2AuO8 after structural relaxation, computed with PBE with a Hubbard U.

Cell lengths 5.9803, 5.9803, 6.5165 Å; angles 90.00, 90.00, 120.00 degrees
With the nearest neighbours (Å) after each atom.
Space group P-3m1 (No. 164)
Unique sites:
Ac: 0.0000 0.0000 0.0000 x1  6 O 2.51
V: 0.3333 0.6667 0.6360 x2  4 O 1.63-1.80
Au: 0.0000 0.0000 0.5000 x1  6 O 2.27
O: 0.1683 0.3366 0.7233 x6  1 V 1.80
O: 0.3333 0.6667 0.3857 x2  1 V 1.63

## Properties
Electronic total energy   -82.2 eV per cell
Density   5.38 Mg/m³